Record 1
# CeHo2Cu6

A geometry-optimized CeHo2Cu6 structure (PBE-GGA, the Alexandria database).

CIF file:
```
data_CeHo2Cu6
_cell_length_a 7.3823
_cell_length_b 7.3823
_cell_length_c 3.5176
_cell_angle_alpha 90.00
_cell_angle_beta 90.00
_cell_angle_gamma 120.00
_symmetry_space_group_name_H-M 'P 6/m m m'
_symmetry_Int_Tables_number 191
_symmetry_space_group_name_Hall '-P 6 2'
loop_
_atom_site_label
_atom_site_fract_x
_atom_site_fract_y
_atom_site_fract_z
Ce1 0.0000 0.0000 0.0000
Ho1 0.3333 0.6667 0.0000
Cu1 0.0000 0.3350 0.5000
```

E_tot: -41.63 eV for the cell shown
Crystal system: hexagonal
E_form: -1.963 eV/f.u.
Size of the total moment: 0.0839 μB/atom

Record 2
# Lu2AlRu

A geometry-optimized Lu2AlRu structure (PBE-GGA, the Alexandria database).

CIF file:
```
data_Lu2AlRu
_cell_length_a 6.856
_cell_length_b 6.856
_cell_length_c 6.856
_cell_angle_alpha 90.00
_cell_angle_beta 90.00
_cell_angle_gamma 90.00
_symmetry_space_group_name_H-M 'F m -3 m'
_symmetry_Int_Tables_number 225
_symmetry_space_group_name_Hall '-F 4 2 3'
loop_
_atom_site_label
_atom_site_fract_x
_atom_site_fract_y
_atom_site_fract_z
Lu1 0.250 0.250 0.250
Al1 0.000 0.000 0.000
Ru1 0.000 0.000 0.500
```

E_tot: -95.14 eV for the cell shown
Crystal system: cubic
E_form: -1.724 eV/f.u.
Size of the total moment: 0.0001 μB/atom